# 1
Here is La3Ir2 after structural relaxation from the Alexandria database. Energies are from PBE.

E above lowest polymorph	49	meV/atom

Lattice parameters (Å, degrees): 4.230 4.230 30.249 90.00 90.00 120.00
Sites, in units of the cell vectors:
La: 0.000 0.000 0.000
La: 0.000 0.000 0.228
La: 0.000 0.000 0.772
La: 0.333 0.667 0.438
La: 0.333 0.667 0.667
La: 0.333 0.667 0.895
La: 0.667 0.333 0.105
La: 0.667 0.333 0.333
La: 0.667 0.333 0.562
Ir: 0.000 0.000 0.392
Ir: 0.000 0.000 0.608
Ir: 0.333 0.667 0.059
Ir: 0.333 0.667 0.275
Ir: 0.667 0.333 0.725
Ir: 0.667 0.333 0.941

***

# 2
Here is La7Ir3 after structural relaxation from the Alexandria database. Energies are from PBE.

Lattice parameters (Å, degrees): 10.194 10.194 6.566 90.00 90.00 120.00
Sites, in units of the cell vectors:
La: 0.076 0.538 0.000
La: 0.126 0.252 0.303
La: 0.126 0.874 0.303
La: 0.252 0.126 0.803
La: 0.333 0.667 0.540
La: 0.462 0.538 0.000
La: 0.462 0.924 0.000
La: 0.538 0.076 0.500
La: 0.538 0.462 0.500
La: 0.667 0.333 0.040
La: 0.748 0.874 0.303
La: 0.874 0.126 0.803
La: 0.874 0.748 0.803
La: 0.924 0.462 0.500
Ir: 0.187 0.374 0.761
Ir: 0.187 0.813 0.761
Ir: 0.374 0.187 0.261
Ir: 0.626 0.813 0.761
Ir: 0.813 0.187 0.261
Ir: 0.813 0.626 0.261

***

# 3
Here is La4Ir3 after structural relaxation from the Alexandria database. Energies are from PBE.

E above lowest polymorph	0	meV/atom

Lattice parameters (Å, degrees): 14.407 4.401 7.409 90.00 120.63 90.00
Sites, in units of the cell vectors:
La: 0.123 0.000 0.295
La: 0.136 0.500 0.799
La: 0.364 0.000 0.201
La: 0.377 0.500 0.705
La: 0.623 0.500 0.295
La: 0.636 0.000 0.799
La: 0.864 0.500 0.201
La: 0.877 0.000 0.705
Ir: 0.000 0.500 0.000
Ir: 0.241 0.500 0.241
Ir: 0.259 0.000 0.759
Ir: 0.500 0.000 0.000
Ir: 0.741 0.000 0.241
Ir: 0.759 0.500 0.759

***

# 4
Here is La4Ir3 after structural relaxation from the Alexandria database. Energies are from PBE.

E above lowest polymorph	129	meV/atom

Lattice parameters (Å, degrees): 4.017 4.017 24.197 90.00 90.00 90.00
Sites, in units of the cell vectors:
La: 0.000 0.000 0.065
La: 0.000 0.000 0.309
La: 0.000 0.000 0.691
La: 0.000 0.000 0.935
La: 0.500 0.500 0.191
La: 0.500 0.500 0.435
La: 0.500 0.500 0.565
La: 0.500 0.500 0.809
Ir: 0.000 0.000 0.180
Ir: 0.000 0.000 0.500
Ir: 0.000 0.000 0.820
Ir: 0.500 0.500 0.000
Ir: 0.500 0.500 0.320
Ir: 0.500 0.500 0.680

***

Energy relative to the elements for every record listed, in sequence, given in eV per atom: -0.64; -0.59; -0.68; -0.55.
Fermi-level density of states for every record listed, in sequence, given in states/eV/f.u.: 3.7; 12.4; 4.0; 4.4.